VASP calculation (PBE) on crystalline Cd2CoP at its relaxed geometry.

## Properties
- Space group: No. 122
- Calculated total energy: -3.29 eV per atom
- Formation energy from the elements: 0.2943 eV/atom

Cell lengths 6.773, 6.773, 6.773 Å; angles 95.50, 95.50, 143.94 degrees
Fractional coordinates of all 8 atoms:
Cd 0.010 0.625 0.885
Cd 0.375 0.260 0.385
Cd 0.740 0.125 0.115
Cd 0.875 0.990 0.615
Co 0.250 0.750 0.500
Co 0.500 0.500 0.000
P 0.000 0.000 0.000
P 0.750 0.250 0.500